DFT (GGA+U) results for a geometry-optimized WO2F structure.

The structure in extended XYZ format:
```
8
Lattice="5.391 -0.026 -0.034 2.603 4.721 -0.034 2.825 1.659 4.596" Properties=species:S:1:pos:R:3 pbc="T T T"
F 3.585 2.412 0.338
W 4.003 4.106 1.554
O 5.530 0.409 0.526
O 4.464 5.460 2.824
O 7.920 3.436 2.660
O 5.446 4.414 0.361
W 6.949 2.326 3.853
F 5.265 2.785 2.636
```

Space-group type: No. 9
M_tot in Bohr magnetons per cell: 2.00
Uncorrected energy in eV/cell: -55.5